[1]
Computed, not measured: a relaxed Ba2GaPb4Au3 crystal at the PBE level of DFT.

Computed properties:
total moment	0.00	μB per formula unit
symmetry	P-4m2 (115)

abc: 5.011 5.011 11.786
angles: 90.00 90.00 90.00
Fractional positions:
Ba 0.500 0.000 0.258
Ba 0.000 0.500 0.742
Ga 0.500 0.500 0.500
Pb 0.500 0.500 0.000
Pb 0.000 0.000 0.000
Pb 0.500 0.000 0.627
Pb 0.000 0.500 0.373
Au 0.000 0.000 0.500
Au 0.500 0.000 0.866
Au 0.000 0.500 0.134

***

[2]
Computed, not measured: a relaxed UTiZn2 crystal at the PBE level of DFT.

Computed properties:
total moment	1.74	μB per formula unit
symmetry	P4/mmm (123)

abc: 2.786 2.786 8.728
angles: 90.00 90.00 90.00
Fractional positions:
Zn 0.000 0.000 0.775
Zn 0.000 0.000 0.225
U 0.500 0.500 0.500
Ti 0.500 0.500 0.000

***

| no. | formation enthalpy at 0 K (eV per atom) | total DFT energy (no corrections) (eV per atom) |
| --- | --- | --- |
| 1 | -0.426 | -3.580 |
| 2 | -0.049 | -5.481 |